## one
Zr2Cu2Pt | PBE | optimized geometry

Properties
theoretical density = 9.22 g/cm³

Cell: 3.8127 3.8127 6.5973 Å, 90.00 90.00 108.62°
Fractional positions:
Zr  0.0000  0.0000  0.2392
Zr  0.0000  0.0000  0.7608
Cu  0.3181  0.6819  0.5000
Cu  0.6819  0.3181  0.5000
Pt  0.5000  0.5000  0.0000

## two
Zr2Cu2Pt | PBE | optimized geometry

Properties
theoretical density = 9.91 g/cm³

Cell: 6.8884 6.8884 3.5634 Å, 90.00 90.00 90.00°
Fractional positions:
Zr  0.1767  0.3233  0.0000
Zr  0.3233  0.8233  0.0000
Zr  0.6767  0.1767  0.0000
Zr  0.8233  0.6767  0.0000
Cu  0.1241  0.6241  0.5000
Cu  0.3759  0.1241  0.5000
Cu  0.6241  0.8759  0.5000
Cu  0.8759  0.3759  0.5000
Pt  0.0000  0.0000  0.5000
Pt  0.5000  0.5000  0.5000

We find two to be the most stable, with the next structure 222 meV per atom higher.

## one
Pu3Cu | PBE | optimized geometry

Properties
theoretical density = 13.98 g/cm³

Cell: 4.5551 4.5551 4.5551 Å, 90.00 90.00 90.00°
Fractional positions:
Pu  0.0000  0.0000  0.5000
Pu  0.0000  0.5000  0.0000
Pu  0.5000  0.0000  0.0000
Cu  0.5000  0.5000  0.5000

## two
Pu3Cu | PBE | optimized geometry

Properties
theoretical density = 15.92 g/cm³

Cell: 5.7902 5.7902 5.7902 Å, 151.78 73.65 113.60°
Fractional positions:
Pu  0.0000  0.0000  0.0000
Pu  0.0816  0.2752  0.8064
Pu  0.4688  0.2752  0.1936
Cu  0.5985  0.0985  0.5000

## three
Pu3Cu | PBE | optimized geometry

Properties
theoretical density = 19.78 g/cm³

Cell: 2.3551 4.7647 5.9520 Å, 90.00 90.00 90.00°
Fractional positions:
Pu  0.0000  0.0000  0.0000
Pu  0.0000  0.5000  0.2372
Pu  0.5000  0.5000  0.7186
Cu  0.5000  0.0000  0.4777

We find two to be the most stable, with the next structure 73 meV per atom higher.

## one
Pu4CuRh3 | PBE | optimized geometry

Properties
theoretical density = 13.76 g/cm³

Cell: 5.9562 5.9562 5.9562 Å, 109.47 109.47 109.47°
Fractional positions:
Pu  0.0000  0.0000  0.5000
Pu  0.0000  0.5000  0.0000
Pu  0.5000  0.0000  0.0000
Pu  0.5000  0.5000  0.5000
Cu  0.0000  0.0000  0.0000
Rh  0.0000  0.5000  0.5000
Rh  0.5000  0.0000  0.5000
Rh  0.5000  0.5000  0.0000

## two
Pu4CuRh3 | PBE | optimized geometry

Properties
theoretical density = 13.75 g/cm³

Cell: 7.7409 7.7409 7.7409 Å, 143.54 143.54 52.51°
Fractional positions:
Pu  0.1272  0.6272  0.5000
Pu  0.3728  0.8728  0.5000
Pu  0.6272  0.1272  0.5000
Pu  0.8728  0.3728  0.5000
Cu  0.0000  0.0000  0.0000
Rh  0.2502  0.2502  0.0000
Rh  0.5000  0.5000  0.0000
Rh  0.7498  0.7498  0.0000

We find two to be the most stable, with the next structure 12 meV per atom higher.

## one
PuCuRh | PBE | optimized geometry

Properties
theoretical density = 15.05 g/cm³

Cell: 2.6232 2.6232 13.1963 Å, 90.00 90.00 94.34°
Fractional positions:
Pu  0.2500  0.7500  0.7515
Pu  0.7500  0.2500  0.2485
Cu  0.2500  0.7500  0.0660
Cu  0.7500  0.2500  0.9340
Rh  0.2500  0.7500  0.4219
Rh  0.7500  0.2500  0.5781

## two
PuCuRh | PBE | optimized geometry

Properties
theoretical density = 12.54 g/cm³

Cell: 5.3160 5.3160 5.2476 Å, 90.00 90.00 132.85°
Fractional positions:
Pu  0.1966  0.8034  0.7500
Pu  0.8034  0.1966  0.2500
Cu  0.5000  0.5000  0.0000
Cu  0.5000  0.5000  0.5000
Rh  0.0973  0.9027  0.2500
Rh  0.9027  0.0973  0.7500

## three
PuCuRh | PBE | optimized geometry

Properties
theoretical density = 12.76 g/cm³

Cell: 5.3921 5.3921 5.3921 Å, 144.18 144.18 51.56°
Fractional positions:
Pu  0.0000  0.0000  0.0000
Cu  0.3045  0.3045  0.0000
Rh  0.6828  0.6828  0.0000

## four
PuCuRh | PBE | optimized geometry

Properties
theoretical density = 12.37 g/cm³

Cell: 4.4055 4.4055 3.2785 Å, 90.00 90.00 120.00°
Fractional positions:
Pu  0.0000  0.0000  0.0000
Cu  0.3333  0.6667  0.5000
Rh  0.6667  0.3333  0.5000

We find two to be the most stable, with the next structure 125 meV per atom higher.

## one
PuCu2Rh | PBE | optimized geometry

Properties
theoretical density = 11.80 g/cm³

Cell: 4.5517 4.5517 4.5517 Å, 60.00 60.00 60.00°
Fractional positions:
Pu  0.0000  0.0000  0.0000
Cu  0.2500  0.2500  0.2500
Cu  0.7500  0.7500  0.7500
Rh  0.5000  0.5000  0.5000

## two
PuCu2Rh | PBE | optimized geometry

Properties
theoretical density = 12.05 g/cm³

Cell: 5.1789 5.1688 3.8541 Å, 68.27 67.99 43.74°
Fractional positions:
Pu  0.0000  0.0000  0.0000
Cu  0.2500  0.2500  0.2500
Cu  0.7500  0.7500  0.7500
Rh  0.5000  0.5000  0.5000

We find two to be the most stable, with the next structure 227 meV per atom higher.

## one
Pu6CuRu5 | PBE | optimized geometry

Properties
theoretical density = 14.33 g/cm³

Cell: 6.3990 6.3990 7.8779 Å, 90.00 90.00 133.11°
Fractional positions:
Pu  0.0000  0.0000  0.2130
Pu  0.0000  0.0000  0.7870
Pu  0.3252  0.6748  0.2755
Pu  0.3252  0.6748  0.7245
Pu  0.6748  0.3252  0.2755
Pu  0.6748  0.3252  0.7245
Cu  0.5000  0.5000  0.0000
Ru  0.1308  0.8692  0.5000
Ru  0.1840  0.8160  0.0000
Ru  0.5000  0.5000  0.5000
Ru  0.8160  0.1840  0.0000
Ru  0.8692  0.1308  0.5000

## two
Pu6CuRu5 | PBE | optimized geometry

Properties
theoretical density = 14.40 g/cm³

Cell: 8.3512 8.3512 4.8549 Å, 106.86 106.86 121.04°
Fractional positions:
Pu  0.0817  0.4175  0.7496
Pu  0.2481  0.2481  0.2483
Pu  0.4175  0.0817  0.7496
Pu  0.5825  0.9183  0.2504
Pu  0.7519  0.7519  0.7517
Pu  0.9183  0.5825  0.2504
Cu  0.5000  0.5000  0.0000
Ru  0.0000  0.0000  0.5000
Ru  0.1657  0.8343  0.0000
Ru  0.3320  0.6680  0.5000
Ru  0.6680  0.3320  0.5000
Ru  0.8343  0.1657  0.0000

We find two to be the most stable, with the next structure 54 meV per atom higher.

## one
PuCuRu2 | PBE | optimized geometry

Properties
theoretical density = 13.35 g/cm³

Cell: 4.1494 4.1494 3.6810 Å, 90.00 90.00 90.00°
Fractional positions:
Pu  0.0000  0.0000  0.0000
Cu  0.5000  0.5000  0.0000
Ru  0.0000  0.5000  0.5000
Ru  0.5000  0.0000  0.5000

## two
PuCuRu2 | PBE | optimized geometry

Properties
theoretical density = 13.34 g/cm³

Cell: 4.4766 4.4766 4.4766 Å, 60.00 60.00 60.00°
Fractional positions:
Pu  0.0000  0.0000  0.0000
Cu  0.5000  0.5000  0.5000
Ru  0.2500  0.2500  0.2500
Ru  0.7500  0.7500  0.7500

We find one to be the most stable, with the next structure 9 meV per atom higher.

## one
PuCuRu | PBE | optimized geometry

Properties
theoretical density = 12.54 g/cm³

Cell: 4.3523 4.3523 3.2975 Å, 90.00 90.00 120.00°
Fractional positions:
Pu  0.0000  0.0000  0.0000
Cu  0.3333  0.6667  0.5000
Ru  0.6667  0.3333  0.5000

## two
PuCuRu | PBE | optimized geometry

Properties
theoretical density = 12.93 g/cm³

Cell: 5.4243 5.4243 5.4243 Å, 144.91 144.91 50.48°
Fractional positions:
Pu  0.0000  0.0000  0.0000
Cu  0.6995  0.6995  0.0000
Ru  0.3274  0.3274  0.0000

## three
PuCuRu | PBE | optimized geometry

Properties
theoretical density = 12.90 g/cm³

Cell: 5.3078 5.3078 5.0522 Å, 90.00 90.00 132.34°
Fractional positions:
Pu  0.1940  0.8060  0.7500
Pu  0.8060  0.1940  0.2500
Cu  0.5000  0.5000  0.0000
Cu  0.5000  0.5000  0.5000
Ru  0.1024  0.8976  0.2500
Ru  0.8976  0.1024  0.7500

We find three to be the most stable, with the next structure 173 meV per atom higher.